1.
A relaxed Ce3Ga3Ir crystal. Source: Alexandria, functional PBE.

**Magnetic moment**: 0.21 μB per atom
**Formation energy from the elements**: -0.587 eV/atom

abc: 3.630 11.381 14.903
angles: 90.00 90.00 90.00
Space group Cmcm (No. 63)
One atom of each set of equivalent atoms:
Ce (0.000, 0.006, 0.250)
Ce (0.000, 0.324, 0.590)
Ga (0.000, 0.270, 0.250)
Ga (0.000, 0.403, 0.103)
Ir (0.000, 0.000, 0.000)

2.
A relaxed MgGa2CuPb crystal. Source: Alexandria, functional PBE.

**Magnetic moment**: 0.00 μB per atom
**Formation energy from the elements**: 0.096 eV/atom

abc: 4.716 4.716 5.042
angles: 90.00 90.00 90.00
Space group P4/mmm (No. 123)
One atom of each set of equivalent atoms:
Mg (0.000, 0.000, 0.000)
Ga (0.000, 0.500, 0.500)
Cu (0.000, 0.000, 0.500)
Pb (0.500, 0.500, 0.000)

3.
A relaxed SrCr2Ir crystal. Source: Alexandria, functional PBE.

**Magnetic moment**: 1.73 μB per atom
**Formation energy from the elements**: 0.870 eV/atom

abc: 5.984 7.862 3.083
angles: 90.00 90.00 90.00
Space group Cmmm (No. 65)
One atom of each set of equivalent atoms:
Sr (0.000, 0.000, 0.000)
Cr (0.250, 0.250, 0.500)
Ir (0.000, 0.500, 0.000)

4.
A relaxed CuSi2Te crystal. Source: Alexandria, functional PBE.

**Magnetic moment**: 0.00 μB per atom
**Calculated total energy**: -4.0847 eV per atom

abc: 2.919 2.919 9.115
angles: 90.00 90.00 90.00
Space group P4/mmm (No. 123)
One atom of each set of equivalent atoms:
Cu (0.000, 0.000, 0.000)
Si (0.500, 0.500, 0.168)
Te (0.000, 0.000, 0.500)

5.
A relaxed LiVCd crystal. Source: Alexandria, functional PBE.

**Magnetic moment**: 0.00 μB per atom
**Formation energy from the elements**: 0.231 eV/atom

abc: 7.336 4.742 5.838
angles: 90.00 91.92 90.00
Space group Cm (No. 8)
One atom of each set of equivalent atoms:
Li (0.000, 0.000, 0.000)
Li (0.195, 0.500, 0.339)
V (0.046, 0.000, 0.527)
V (0.293, 0.000, 0.629)
Cd (0.156, 0.500, 0.819)
Cd (0.344, 0.000, 0.158)

6.
A relaxed Sr5PbBr12 crystal. Source: Alexandria, functional PBE.

**Magnetic moment**: 0.00 μB per atom
**Calculated total energy**: -3.7011 eV per atom

abc: 7.937 13.802 13.930
angles: 90.00 90.11 90.00
Space group C2/m (No. 12)
One atom of each set of equivalent atoms:
Sr (0.000, 0.000, 0.000)
Sr (0.000, 0.167, 0.500)
Sr (0.000, 0.333, 0.000)
Pb (0.000, 0.500, 0.500)
Br (0.166, 0.167, 0.887)
Br (0.166, 0.334, 0.613)
Br (0.166, 0.500, 0.887)
Br (0.167, 0.000, 0.613)